No. 1
DFT (PBE-GGA) results for a relaxed structure of Hf2TiCdO.

The uncorrected formation energy comes out at -0.973 eV per atom. The total energy comes out at -7.708 eV per atom. For the density of states at the Fermi level, the calculation gives 3.92 states/eV/f.u. Its total moment is 0.00 μB/f.u.

The space group is P4/mmm (No. 123) and the conventional cell measures 4.5042, 4.5042 and 4.0710 Å, with angles of 90.00, 90.00 and 90.00 degrees. Symmetry generates all atoms from Hf at (0.0000, 0.5000, 0.0000), Ti at (0.0000, 0.0000, 0.5000), Cd at (0.5000, 0.5000, 0.5000) and O at (0.0000, 0.0000, 0.0000).

---

No. 2
DFT (PBE-GGA) results for a relaxed structure of HfTiCd2O.

The uncorrected formation energy comes out at -0.216 eV per atom. The total energy comes out at -5.143 eV per atom. For the density of states at the Fermi level, the calculation gives 4.44 states/eV/f.u. Its total moment is 0.87 μB/f.u. The energy above the most stable polymorph in this dataset is 0.162 eV per atom.

The space group is P4/mmm (No. 123) and the conventional cell measures 5.5052, 5.5052 and 3.5967 Å, with angles of 90.00, 90.00 and 90.00 degrees. Symmetry generates all atoms from Hf at (0.0000, 0.0000, 0.0000), Ti at (0.5000, 0.5000, 0.5000), Cd at (0.0000, 0.5000, 0.5000) and O at (0.5000, 0.5000, 0.0000).

---

No. 3
DFT (PBE-GGA) results for a relaxed structure of HfTiCd2O.

The uncorrected formation energy comes out at -0.377 eV per atom. The total energy comes out at -5.305 eV per atom. For the density of states at the Fermi level, the calculation gives 4.39 states/eV/f.u. Its total moment is 2.32 μB/f.u. The energy above the most stable polymorph in this dataset is 0.000 eV per atom.

The space group is P4/mmm (No. 123) and the conventional cell measures 4.9872, 4.9872 and 4.0063 Å, with angles of 90.00, 90.00 and 90.00 degrees. Symmetry generates all atoms from Hf at (0.0000, 0.0000, 0.0000), Ti at (0.5000, 0.5000, 0.0000), Cd at (0.0000, 0.5000, 0.5000) and O at (0.0000, 0.0000, 0.5000).

---

No. 4
DFT (PBE-GGA) results for a relaxed structure of HfTiCd2O6.

The uncorrected formation energy comes out at -2.218 eV per atom. The total energy comes out at -7.161 eV per atom. Its total moment is 0.00 μB/f.u.

The space group is P4mm (No. 99) and the conventional cell measures 5.6036, 5.6036 and 4.2880 Å, with angles of 90.00, 90.00 and 90.00 degrees. Symmetry generates all atoms from Hf at (0.0000, 0.0000, 0.0000), Ti at (0.5000, 0.5000, 0.9805), Cd at (0.0000, 0.5000, 0.3823), O at (0.0000, 0.0000, 0.5374), O at (0.2572, 0.2572, 0.0772) and O at (0.5000, 0.5000, 0.5694).

---

No. 5
DFT (PBE-GGA) results for a relaxed structure of Hf2TlCdO.

The uncorrected formation energy comes out at -0.622 eV per atom. The total energy comes out at -6.251 eV per atom. For the density of states at the Fermi level, the calculation gives 5.76 states/eV/f.u. Its total moment is 0.00 μB/f.u.

The space group is P4/mmm (No. 123) and the conventional cell measures 4.3097, 4.3097 and 5.3723 Å, with angles of 90.00, 90.00 and 90.00 degrees. Symmetry generates all atoms from Hf at (0.0000, 0.5000, 0.0000), Tl at (0.0000, 0.0000, 0.5000), Cd at (0.5000, 0.5000, 0.5000) and O at (0.0000, 0.0000, 0.0000).

---

No. 6
DFT (PBE-GGA) results for a relaxed structure of HfUCdO6.

The uncorrected formation energy comes out at -2.745 eV per atom. The total energy comes out at -8.513 eV per atom. For the density of states at the Fermi level, the calculation gives 0.00 states/eV/f.u. Its total moment is 0.00 μB/f.u.

The space group is P-31c (No. 163) and the conventional cell measures 5.6267, 5.6267 and 9.4697 Å, with angles of 90.00, 90.00 and 120.00 degrees. Symmetry generates all atoms from Hf at (0.3333, 0.6667, 0.2500), U at (0.3333, 0.6667, 0.7500), Cd at (0.0000, 0.0000, 0.0000) and O at (0.0003, 0.3595, 0.1382).